A relaxed structure of La4Pm5Pr4. Source: Alexandria, functional GGA-PBE.

Results
The value obtained for the density of states at the Fermi level is 24.13 states/eV per cell. As for the space-group type: I4/m. The formation energy from the elements is 0.02 eV per atom.

Geometry as POSCAR:
```
La4Pm5Pr4
1.0
-6.6828 6.6828 2.6111
6.6828 -6.6828 2.6111
6.6828 6.6828 -2.6111
La Pm Pr
4 5 4
Direct
0.1533 0.7711 0.9244 La
0.2289 0.1533 0.3822 La
0.7711 0.8467 0.6178 La
0.8467 0.2289 0.0756 La
0.0000 0.0000 0.0000 Pm
0.3087 0.5382 0.8469 Pm
0.4618 0.3087 0.7705 Pm
0.5382 0.6913 0.2295 Pm
0.6913 0.4618 0.1531 Pm
0.0785 0.3851 0.4636 Pr
0.3851 0.9215 0.3066 Pr
0.6149 0.0785 0.6934 Pr
0.9215 0.6149 0.5364 Pr
```

=====

A relaxed structure of CaHf2SiAs. Source: Alexandria, functional GGA-PBE.

Results
The value obtained for the density of states at the Fermi level is 5.64 states/eV per cell. As for the space-group type: P4/mmm. The uncorrected energy is -6.17 eV per atom.

Geometry as POSCAR:
```
CaHf2SiAs
1.0
4.9314 0.0000 0.0000
0.0000 4.9314 0.0000
0.0000 0.0000 5.2508
Ca Hf Si As
1 2 1 1
Direct
0.0000 0.0000 0.0000 Ca
0.0000 0.5000 0.5000 Hf
0.5000 0.0000 0.5000 Hf
0.0000 0.0000 0.5000 Si
0.5000 0.5000 0.0000 As
```

=====

A relaxed structure of La2Zr. Source: Alexandria, functional GGA-PBE.

Results
The value obtained for the density of states at the Fermi level is 9.99 states/eV per cell. The energy relative to the lowest polymorph listed for this composition is 58 meV per atom. As for the space-group type: Cmcm. The formation energy from the elements is 0.18 eV per atom.

Geometry as POSCAR:
```
La2Zr
1.0
1.7390 -9.2493 0.0000
1.7390 9.2493 0.0000
0.0000 0.0000 5.7522
La Zr
4 2
Direct
0.0482 0.9518 0.7500 La
0.2819 0.7181 0.2500 La
0.7181 0.2819 0.7500 La
0.9518 0.0482 0.2500 La
0.3794 0.6206 0.7500 Zr
0.6206 0.3794 0.2500 Zr
```

=====

A relaxed structure of Zr2CdFe. Source: Alexandria, functional GGA-PBE.

Results
The value obtained for the density of states at the Fermi level is 8.28 states/eV per cell. As for the space-group type: I-42d. The formation energy from the elements is 0.26 eV per atom.

Geometry as POSCAR:
```
Zr2CdFe
1.0
-3.7455 3.7455 2.8404
3.7455 -3.7455 2.8404
3.7455 3.7455 -2.8404
Zr Cd Fe
4 2 2
Direct
0.0721 0.6250 0.9471 Zr
0.3750 0.3221 0.4471 Zr
0.6779 0.1250 0.0529 Zr
0.8750 0.9279 0.5529 Zr
0.2500 0.7500 0.5000 Cd
0.5000 0.5000 0.0000 Cd
0.0000 0.0000 0.0000 Fe
0.7500 0.2500 0.5000 Fe
```

=====

A relaxed structure of BaCuPt2. Source: Alexandria, functional GGA-PBE.

Results
The value obtained for the density of states at the Fermi level is 3.15 states/eV per cell. The energy relative to the lowest polymorph listed for this composition is 0 meV per atom. As for the space-group type: Cm. The formation energy from the elements is -0.49 eV per atom.

Geometry as POSCAR:
```
BaCuPt2
1.0
3.9113 -2.2606 0.0000
3.9113 2.2606 0.0000
-2.6471 0.0000 5.4508
Ba Cu Pt
1 1 2
Direct
0.0000 0.0000 0.0000 Ba
0.1831 0.1831 0.5488 Cu
0.4928 0.4928 0.4788 Pt
0.8115 0.8115 0.4352 Pt
```

=====

A relaxed structure of HoPF. Source: Alexandria, functional GGA-PBE.

Results
The value obtained for the density of states at the Fermi level is 2.03 states/eV per cell. The energy relative to the lowest polymorph listed for this composition is 0 meV per atom. As for the space-group type: Cmcm.

Geometry as POSCAR:
```
HoPF
1.0
1.8338 -6.3221 0.0000
1.8338 6.3221 0.0000
0.0000 0.0000 4.1362
Ho P F
2 2 2
Direct
0.1290 0.8710 0.7500 Ho
0.8710 0.1290 0.2500 Ho
0.4587 0.5413 0.7500 P
0.5413 0.4587 0.2500 P
0.2481 0.7519 0.2500 F
0.7519 0.2481 0.7500 F
```

=====

A relaxed structure of AcPm4Sm2. Source: Alexandria, functional GGA-PBE.

Results
The value obtained for the density of states at the Fermi level is 10.25 states/eV per cell. The energy relative to the lowest polymorph listed for this composition is 4 meV per atom. As for the space-group type: I4/mmm. The formation energy from the elements is 0.22 eV per atom.

Geometry as POSCAR:
```
AcPm4Sm2
1.0
-2.3227 2.3227 11.9048
2.3227 -2.3227 11.9048
2.3227 2.3227 -11.9048
Ac Pm Sm
1 4 2
Direct
0.0000 0.0000 0.0000 Ac
0.1422 0.1422 0.0000 Pm
0.2500 0.7500 0.5000 Pm
0.7500 0.2500 0.5000 Pm
0.8578 0.8578 0.0000 Pm
0.3953 0.3953 0.0000 Sm
0.6047 0.6047 0.0000 Sm
```

=====

A relaxed structure of NaCd2GeRh. Source: Alexandria, functional GGA-PBE.

Results
The value obtained for the density of states at the Fermi level is 1.98 states/eV per cell. As for the space-group type: P4/mmm. The formation energy from the elements is -0.12 eV per atom.

Geometry as POSCAR:
```
NaCd2GeRh
1.0
5.2456 0.0000 0.0000
0.0000 5.2456 0.0000
0.0000 0.0000 4.6681
Na Cd Ge Rh
1 2 1 1
Direct
0.0000 0.0000 0.0000 Na
0.0000 0.5000 0.5000 Cd
0.5000 0.0000 0.5000 Cd
0.5000 0.5000 0.0000 Ge
0.5000 0.5000 0.5000 Rh
```

=====

A relaxed structure of U3PaC4. Source: Alexandria, functional GGA-PBE.

Results
The value obtained for the density of states at the Fermi level is 7.40 states/eV per cell. As for the space-group type: Pm-3m. The formation energy from the elements is -0.21 eV per atom.

Geometry as POSCAR:
```
U3PaC4
1.0
4.9731 0.0000 0.0000
0.0000 4.9731 0.0000
0.0000 0.0000 4.9731
U Pa C
3 1 4
Direct
0.0000 0.0000 0.5000 U
0.0000 0.5000 0.0000 U
0.5000 0.0000 0.0000 U
0.5000 0.5000 0.5000 Pa
0.0000 0.0000 0.0000 C
0.0000 0.5000 0.5000 C
0.5000 0.0000 0.5000 C
0.5000 0.5000 0.0000 C
```

=====

A relaxed structure of Ca4CrFe. Source: Alexandria, functional GGA-PBE.

Results
The value obtained for the density of states at the Fermi level is 11.21 states/eV per cell. As for the space-group type: F-43m. The formation energy from the elements is 1.06 eV per atom.

Geometry as POSCAR:
```
Ca4CrFe
1.0
0.0000 4.5983 4.5983
4.5983 0.0000 4.5983
4.5983 4.5983 0.0000
Ca Cr Fe
4 1 1
Direct
0.3756 0.3756 0.3756 Ca
0.3756 0.3756 0.8734 Ca
0.3756 0.8734 0.3756 Ca
0.8734 0.3756 0.3756 Ca
0.0000 0.0000 0.0000 Cr
0.7500 0.7500 0.7500 Fe
```

=====

A relaxed structure of ZrNiSe3. Source: Alexandria, functional GGA-PBE.

Results
The value obtained for the density of states at the Fermi level is 3.56 states/eV per cell. The energy relative to the lowest polymorph listed for this composition is 674 meV per atom. As for the space-group type: Pm-3m.

Geometry as POSCAR:
```
ZrNiSe3
1.0
4.6555 0.0000 0.0000
0.0000 4.6555 0.0000
0.0000 0.0000 4.6555
Zr Ni Se
1 1 3
Direct
0.0000 0.0000 0.0000 Zr
0.5000 0.5000 0.5000 Ni
0.0000 0.5000 0.5000 Se
0.5000 0.0000 0.5000 Se
0.5000 0.5000 0.0000 Se
```

=====

A relaxed structure of NaCaB2H8. Source: Alexandria, functional GGA-PBE.

Results
The value obtained for the density of states at the Fermi level is 0.76 states/eV per cell. As for the space-group type: P-3. The uncorrected energy is -3.93 eV per atom.

Geometry as POSCAR:
```
NaCaB2H8
1.0
4.2140 0.0000 0.0000
-2.1070 3.6494 0.0000
0.0000 0.0000 9.9610
Na Ca B H
1 1 2 8
Direct
0.0000 0.0000 0.0000 Na
0.0000 0.0000 0.5000 Ca
0.3333 0.6667 0.3527 B
0.6667 0.3333 0.6473 B
0.0891 0.3717 0.3117 H
0.2826 0.9109 0.3117 H
0.3333 0.6667 0.4784 H
0.3717 0.2826 0.6883 H
0.6283 0.7174 0.3117 H
0.6667 0.3333 0.5216 H
0.7174 0.0891 0.6883 H
0.9109 0.6283 0.6883 H
```

=====

A relaxed structure of SrLaZr2. Source: Alexandria, functional GGA-PBE.

Results
The value obtained for the density of states at the Fermi level is 6.01 states/eV per cell. The energy relative to the lowest polymorph listed for this composition is 235 meV per atom. As for the space-group type: I4/mmm. The formation energy from the elements is 0.47 eV per atom.

Geometry as POSCAR:
```
SrLaZr2
1.0
-2.4154 2.4154 5.1183
2.4154 -2.4154 5.1183
2.4154 2.4154 -5.1183
Sr La Zr
1 1 2
Direct
0.0000 0.0000 0.0000 Sr
0.5000 0.5000 0.0000 La
0.2500 0.7500 0.5000 Zr
0.7500 0.2500 0.5000 Zr
```

=====

A relaxed structure of CdPtF4. Source: Alexandria, functional GGA-PBE.

Results
As for the space-group type: I-4. The uncorrected energy is -3.56 eV per atom.

Geometry as POSCAR:
```
CdPtF4
1.0
-2.1628 2.1628 6.2296
2.1628 -2.1628 6.2296
2.1628 2.1628 -6.2296
Cd Pt F
1 1 4
Direct
0.0000 0.0000 0.0000 Cd
0.7500 0.2500 0.5000 Pt
0.1093 0.5876 0.9290 F
0.4124 0.3413 0.5216 F
0.6587 0.1803 0.0710 F
0.8197 0.8907 0.4784 F
```

=====

A relaxed structure of Cd2InNi2. Source: Alexandria, functional GGA-PBE.

Results
The value obtained for the density of states at the Fermi level is 5.23 states/eV per cell. As for the space-group type: P4/mbm. The formation energy from the elements is 0.15 eV per atom.

Geometry as POSCAR:
```
Cd2InNi2
1.0
7.6591 0.0000 0.0000
0.0000 7.6591 0.0000
0.0000 0.0000 2.9659
Cd In Ni
4 2 4
Direct
0.1324 0.3676 0.0000 Cd
0.3676 0.8676 0.0000 Cd
0.6324 0.1324 0.0000 Cd
0.8676 0.6324 0.0000 Cd
0.0000 0.0000 0.0000 In
0.5000 0.5000 0.0000 In
0.1651 0.6651 0.5000 Ni
0.3349 0.1651 0.5000 Ni
0.6651 0.8349 0.5000 Ni
0.8349 0.3349 0.5000 Ni
```

=====

A relaxed structure of HoPb3F8. Source: Alexandria, functional GGA-PBE.

Results
The value obtained for the density of states at the Fermi level is 2.57 states/eV per cell. As for the space-group type: Pm-3m. The uncorrected energy is -5.32 eV per atom.

Geometry as POSCAR:
```
HoPb3F8
1.0
5.9142 0.0000 0.0000
0.0000 5.9142 0.0000
0.0000 0.0000 5.9142
Ho Pb F
1 3 8
Direct
0.0000 0.0000 0.0000 Ho
0.0000 0.5000 0.5000 Pb
0.5000 0.0000 0.5000 Pb
0.5000 0.5000 0.0000 Pb
0.2237 0.2237 0.2237 F
0.2237 0.2237 0.7763 F
0.2237 0.7763 0.2237 F
0.2237 0.7763 0.7763 F
0.7763 0.2237 0.2237 F
0.7763 0.2237 0.7763 F
0.7763 0.7763 0.2237 F
0.7763 0.7763 0.7763 F
```

=====

A relaxed structure of CeTh5Sb8. Source: Alexandria, functional GGA-PBE.

Results
The value obtained for the density of states at the Fermi level is 5.51 states/eV per cell. As for the space-group type: I-4. The uncorrected energy is -6.36 eV per atom.

Geometry as POSCAR:
```
CeTh5Sb8
1.0
-4.7143 4.7143 4.7216
4.7143 -4.7143 4.7216
4.7143 4.7143 -4.7216
Ce Th Sb
1 5 8
Direct
0.0000 0.0000 0.0000 Ce
0.1249 0.4994 0.8740 Th
0.2500 0.7500 0.5000 Th
0.5006 0.3746 0.6255 Th
0.6254 0.2509 0.1260 Th
0.7491 0.8751 0.3745 Th
0.0356 0.2831 0.4075 Sb
0.2151 0.1249 0.7503 Sb
0.3719 0.9644 0.2475 Sb
0.3746 0.4648 0.2497 Sb
0.5352 0.7849 0.9098 Sb
0.7169 0.1244 0.7525 Sb
0.8751 0.6254 0.0902 Sb
0.8756 0.6281 0.5925 Sb
```

=====

A relaxed structure of Ce7Ir3. Source: Alexandria, functional GGA-PBE.

Results
The value obtained for the density of states at the Fermi level is 58.03 states/eV per cell. As for the space-group type: P6_3mc. The formation energy from the elements is -0.52 eV per atom.

Geometry as POSCAR:
```
Ce7Ir3
1.0
9.8282 0.0000 0.0000
-4.9141 8.5115 0.0000
0.0000 0.0000 6.1109
Ce Ir
14 6
Direct
0.0753 0.5377 0.0000 Ce
0.1290 0.2580 0.2763 Ce
0.1290 0.8710 0.2763 Ce
0.2580 0.1290 0.7763 Ce
0.3333 0.6667 0.4890 Ce
0.4623 0.5377 0.0000 Ce
0.4623 0.9247 0.0000 Ce
0.5377 0.0753 0.5000 Ce
0.5377 0.4623 0.5000 Ce
0.6667 0.3333 0.9890 Ce
0.7420 0.8710 0.2763 Ce
0.8710 0.1290 0.7763 Ce
0.8710 0.7420 0.7763 Ce
0.9247 0.4623 0.5000 Ce
0.1864 0.3728 0.7405 Ir
0.1864 0.8136 0.7405 Ir
0.3728 0.1864 0.2405 Ir
0.6272 0.8136 0.7405 Ir
0.8136 0.1864 0.2405 Ir
0.8136 0.6272 0.2405 Ir
```

=====

A relaxed structure of CeThSnPb. Source: Alexandria, functional GGA-PBE.

Results
The value obtained for the density of states at the Fermi level is 9.37 states/eV per cell. As for the space-group type: F-43m. The formation energy from the elements is -0.34 eV per atom.

Geometry as POSCAR:
```
CeThSnPb
1.0
0.0000 3.9024 3.9024
3.9024 0.0000 3.9024
3.9024 3.9024 0.0000
Ce Th Sn Pb
1 1 1 1
Direct
0.0000 0.0000 0.0000 Ce
0.5000 0.5000 0.5000 Th
0.2500 0.2500 0.2500 Sn
0.7500 0.7500 0.7500 Pb
```

=====

A relaxed structure of SmPd5Au2. Source: Alexandria, functional GGA-PBE.

Results
The value obtained for the density of states at the Fermi level is 5.87 states/eV per cell. The energy relative to the lowest polymorph listed for this composition is 191 meV per atom. As for the space-group type: Immm. The formation energy from the elements is -0.25 eV per atom.

Geometry as POSCAR:
```
SmPd5Au2
1.0
-1.9401 3.9339 4.9965
1.9401 -3.9339 4.9965
1.9401 3.9339 -4.9965
Sm Pd Au
1 5 2
Direct
0.0000 0.0000 0.0000 Sm
0.1781 0.3609 0.8172 Pd
0.4562 0.6391 0.8172 Pd
0.5000 0.0000 0.5000 Pd
0.5438 0.3609 0.1828 Pd
0.8219 0.6391 0.1828 Pd
0.2251 0.7251 0.5000 Au
0.7749 0.2749 0.5000 Au
```

=====

A relaxed structure of MnBiIN2. Source: Alexandria, functional GGA-PBE.

Results
The value obtained for the density of states at the Fermi level is 3.77 states/eV per cell. The energy relative to the lowest polymorph listed for this composition is 0 meV per atom. As for the space-group type: P4/mmm.

Geometry as POSCAR:
```
MnBiIN2
1.0
4.0686 0.0000 0.0000
0.0000 4.0686 0.0000
0.0000 0.0000 5.1604
Mn Bi I N
1 1 1 2
Direct
0.0000 0.0000 0.0000 Mn
0.5000 0.5000 0.5000 Bi
0.0000 0.0000 0.5000 I
0.0000 0.5000 0.0000 N
0.5000 0.0000 0.0000 N
```

=====

A relaxed structure of LaCd2Si. Source: Alexandria, functional GGA-PBE.

Results
The value obtained for the density of states at the Fermi level is 2.30 states/eV per cell. As for the space-group type: I-4m2. The uncorrected energy is -3.22 eV per atom.

Geometry as POSCAR:
```
LaCd2Si
1.0
-2.5703 2.5703 3.6467
2.5703 -2.5703 3.6467
2.5703 2.5703 -3.6467
La Cd Si
1 2 1
Direct
0.0000 0.0000 0.0000 La
0.5000 0.5000 0.0000 Cd
0.7500 0.2500 0.5000 Cd
0.2500 0.7500 0.5000 Si
```

=====

A relaxed structure of PmYHoEr. Source: Alexandria, functional GGA-PBE.

Results
The value obtained for the density of states at the Fermi level is 8.53 states/eV per cell. The energy relative to the lowest polymorph listed for this composition is 106 meV per atom. As for the space-group type: F-43m. The formation energy from the elements is 0.13 eV per atom.

Geometry as POSCAR:
```
PmYHoEr
1.0
0.0000 4.0206 4.0206
4.0206 0.0000 4.0206
4.0206 4.0206 0.0000
Pm Y Ho Er
1 1 1 1
Direct
0.0000 0.0000 0.0000 Pm
0.5000 0.5000 0.5000 Y
0.7500 0.7500 0.7500 Ho
0.2500 0.2500 0.2500 Er
```

=====

A relaxed structure of MnAlAu. Source: Alexandria, functional GGA-PBE.

Results
The value obtained for the density of states at the Fermi level is 1.78 states/eV per cell. As for the space-group type: I4mm. The formation energy from the elements is -0.17 eV per atom.

Geometry as POSCAR:
```
MnAlAu
1.0
-1.4483 1.4483 5.4639
1.4483 -1.4483 5.4639
1.4483 1.4483 -5.4639
Mn Al Au
1 1 1
Direct
0.0000 0.0000 0.0000 Mn
0.6487 0.6487 0.0000 Al
0.3205 0.3205 0.0000 Au
```

=====

A relaxed structure of CoW. Source: Alexandria, functional GGA-PBE.

Results
The value obtained for the density of states at the Fermi level is 6.13 states/eV per cell. As for the space-group type: I4_1/amd. The formation energy from the elements is 0.20 eV per atom.

Geometry as POSCAR:
```
CoW
1.0
-1.8574 1.8574 3.8821
1.8574 -1.8574 3.8821
1.8574 1.8574 -3.8821
Co W
2 2
Direct
0.3750 0.6250 0.7500 Co
0.6250 0.3750 0.2500 Co
0.1250 0.8750 0.2500 W
0.8750 0.1250 0.7500 W
```